Record 1
# VNi2MoH, optimized geometry, DFT PBE-GGA
# ΔE to the lowest computed polymorph (meV per atom): 6
# Space-group type: P4/mmm
# Total moment (μB per formula unit): 0.0
data_VNi2MoH
_chemical_formula_sum 'V1 Ni2 Mo1 H1'
_symmetry_space_group_name_H-M 'P 1'
_symmetry_Int_Tables_number 1
_cell_length_a 3.6083
_cell_length_b 3.6083
_cell_length_c 4.0414
_cell_angle_alpha 90.00
_cell_angle_beta 90.00
_cell_angle_gamma 90.00
loop_
_symmetry_equiv_pos_as_xyz
'x,y,z'
loop_
_atom_site_label
_atom_site_fract_x
_atom_site_fract_y
_atom_site_fract_z
_atom_site_occupancy
V1 0.0000 0.0000 0.0000 1
Ni1 0.0000 0.5000 0.5000 1
Ni2 0.5000 0.0000 0.5000 1
Mo1 0.5000 0.5000 0.0000 1
H1 0.5000 0.5000 0.5000 1


Record 2
# VNi2MoH, optimized geometry, DFT PBE-GGA
# ΔE to the lowest computed polymorph (meV per atom): 0
# Space-group type: P4/mmm
# Total moment (μB per formula unit): 0.0
data_VNi2MoH
_chemical_formula_sum 'V1 Ni2 Mo1 H1'
_symmetry_space_group_name_H-M 'P 1'
_symmetry_Int_Tables_number 1
_cell_length_a 3.6029
_cell_length_b 3.6029
_cell_length_c 4.0185
_cell_angle_alpha 90.00
_cell_angle_beta 90.00
_cell_angle_gamma 90.00
loop_
_symmetry_equiv_pos_as_xyz
'x,y,z'
loop_
_atom_site_label
_atom_site_fract_x
_atom_site_fract_y
_atom_site_fract_z
_atom_site_occupancy
V1 0.0000 0.0000 0.0000 1
Ni1 0.0000 0.5000 0.5000 1
Ni2 0.5000 0.0000 0.5000 1
Mo1 0.5000 0.5000 0.0000 1
H1 0.0000 0.0000 0.5000 1